[1]
Li8Zn2Cu after structural relaxation. Source: Alexandria, functional PBE.

a = 4.456 Å, b = 7.000 Å, c = 7.000 Å
α = 86.80°, β = 83.31°, γ = 83.31°
Positions (direct):
Li 0.792 0.139 0.652
Li 0.208 0.348 0.861
Li 0.892 0.253 0.253
Li 0.108 0.747 0.747
Li 0.792 0.652 0.139
Li 0.208 0.861 0.348
Li 0.303 0.408 0.408
Li 0.697 0.592 0.592
Zn 0.460 0.127 0.127
Zn 0.540 0.873 0.873
Cu 0.000 0.000 0.000

Crystal system: monoclinic
ΔE to the lowest computed polymorph, eV per atom: 0.043
Formation energy, kJ per mole of atoms: 5
Symmetry: C2/m
E, eV per atom: -1.94
Size of the total moment, μB/atom: 0.0000

---

[2]
Li2ScAu2 after structural relaxation. Source: Alexandria, functional PBE.

a = 7.246 Å, b = 7.246 Å, c = 3.451 Å
α = 90.00°, β = 90.00°, γ = 90.00°
Positions (direct):
Sc 0.000 0.000 0.000
Sc 0.500 0.500 0.000
Au 0.357 0.857 0.000
Au 0.857 0.643 0.000
Au 0.643 0.143 0.000
Au 0.143 0.357 0.000
Li 0.150 0.650 0.500
Li 0.650 0.850 0.500
Li 0.850 0.350 0.500
Li 0.350 0.150 0.500

Crystal system: tetragonal
ΔE to the lowest computed polymorph, eV per atom: 0.100
Formation energy, kJ per mole of atoms: -43
Symmetry: P4/mbm
E, eV per atom: -3.78
Size of the total moment, μB/atom: 0.0001

---

[3]
YTiI2O after structural relaxation. Source: Alexandria, functional PBE.

a = 6.166 Å, b = 6.166 Å, c = 4.147 Å
α = 90.00°, β = 90.00°, γ = 90.00°
Positions (direct):
I 0.000 0.500 0.000
I 0.500 0.000 0.000
Y 0.000 0.000 0.000
O 0.000 0.000 0.500
Ti 0.500 0.500 0.500

Energy relative to the elements, uncorrected, eV/atom: -0.85
Crystal system: tetragonal
ΔE to the lowest computed polymorph, eV per atom: 0.232
Symmetry: P4/mmm
E, eV per atom: -5.33
Size of the total moment, μB/atom: 0.5936

---

[4]
CdNi2Te2 after structural relaxation. Source: Alexandria, functional PBE.

a = 3.733 Å, b = 3.733 Å, c = 8.337 Å
α = 77.06°, β = 77.06°, γ = 90.00°
Positions (direct):
Ni 0.750 0.250 0.500
Ni 0.250 0.750 0.500
Te 0.359 0.359 0.282
Te 0.641 0.641 0.718
Cd 0.000 0.000 0.000

Energy relative to the elements, uncorrected, eV/atom: -0.08
Crystal system: tetragonal
ΔE to the lowest computed polymorph, eV per atom: 0.000
Symmetry: I4/mmm
E, eV per atom: -3.83
Size of the total moment, μB/atom: 0.0362

---

[5]
Na2HfB after structural relaxation. Source: Alexandria, functional PBE.

a = 9.336 Å, b = 9.336 Å, c = 6.977 Å
α = 48.00°, β = 48.00°, γ = 90.00°
Positions (direct):
Na 0.512 0.125 0.250
Na 0.238 0.625 0.250
Na 0.375 0.488 0.750
Na 0.875 0.762 0.750
B 0.500 0.500 0.000
B 0.250 0.750 0.500
Hf 0.000 0.000 0.000
Hf 0.750 0.250 0.500

Crystal system: tetragonal
Formation energy, kJ per mole of atoms: 93
Symmetry: I-42d
E, eV per atom: -3.85
Size of the total moment, μB/atom: 0.0000

---

[6]
NaTe2Ir2 after structural relaxation. Source: Alexandria, functional PBE.

a = 4.095 Å, b = 4.095 Å, c = 7.771 Å
α = 74.72°, β = 74.72°, γ = 90.00°
Positions (direct):
Na 0.000 0.000 0.000
Ir 0.750 0.250 0.500
Ir 0.250 0.750 0.500
Te 0.366 0.366 0.269
Te 0.634 0.634 0.731

Energy relative to the elements, uncorrected, eV/atom: -0.10
Crystal system: tetragonal
ΔE to the lowest computed polymorph, eV per atom: 0.000
Symmetry: I4/mmm
E, eV per atom: -5.16
Size of the total moment, μB/atom: 0.0000

---

[7]
ErGa4CoCu2 after structural relaxation. Source: Alexandria, functional PBE.

a = 4.116 Å, b = 4.116 Å, c = 8.961 Å
α = 76.72°, β = 76.72°, γ = 60.00°
Positions (direct):
Er 0.000 0.000 0.000
Ga 0.402 0.402 0.794
Ga 0.867 0.867 0.398
Ga 0.133 0.133 0.602
Ga 0.598 0.598 0.206
Co 0.500 0.500 0.500
Cu 0.763 0.763 0.711
Cu 0.237 0.237 0.289

Crystal system: trigonal
Formation energy, kJ per mole of atoms: -27
Symmetry: R-3m
E, eV per atom: -4.28
Size of the total moment, μB/atom: 0.0003

---

[8]
La4Pr15Nd after structural relaxation. Source: Alexandria, functional PBE.

a = 5.267 Å, b = 5.267 Å, c = 26.279 Å
α = 90.00°, β = 90.00°, γ = 90.00°
Positions (direct):
La 0.000 0.000 0.200
La 0.000 0.000 0.400
La 0.000 0.000 0.600
La 0.000 0.000 0.800
Pr 0.500 0.500 0.000
Pr 0.500 0.500 0.199
Pr 0.500 0.500 0.400
Pr 0.500 0.500 0.600
Pr 0.500 0.500 0.801
Pr 0.500 0.000 0.099
Pr 0.500 0.000 0.300
Pr 0.500 0.000 0.500
Pr 0.500 0.000 0.700
Pr 0.500 0.000 0.901
Pr 0.000 0.500 0.099
Pr 0.000 0.500 0.300
Pr 0.000 0.500 0.500
Pr 0.000 0.500 0.700
Pr 0.000 0.500 0.901
Nd 0.000 0.000 0.000

Crystal system: tetragonal
Formation energy, kJ per mole of atoms: 1
Symmetry: P4/mmm
E, eV per atom: -4.80
Size of the total moment, μB/atom: 0.0000

---

[9]
P2Au after structural relaxation. Source: Alexandria, functional PBE.

a = 3.439 Å, b = 2.659 Å, c = 6.050 Å
α = 90.00°, β = 92.60°, γ = 90.00°
Positions (direct):
P 0.248 0.000 0.125
P 0.752 0.000 0.875
Au 0.000 0.000 0.500

Crystal system: monoclinic
Formation energy, kJ per mole of atoms: 17
Symmetry: P2/m
E, eV per atom: -4.52
Size of the total moment, μB/atom: 0.0000

---

[10]
AgRuPt2 after structural relaxation. Source: Alexandria, functional PBE.

a = 9.512 Å, b = 9.512 Å, c = 9.512 Å
α = 16.75°, β = 16.75°, γ = 16.75°
Positions (direct):
Ru 0.250 0.250 0.250
Ag 0.750 0.750 0.750
Pt 0.996 0.996 0.996
Pt 0.504 0.504 0.504

Crystal system: trigonal
ΔE to the lowest computed polymorph, eV per atom: 0.000
Formation energy, kJ per mole of atoms: 3
Symmetry: R-3m
E, eV per atom: -6.02
Size of the total moment, μB/atom: 0.0000

---

[11]
KDyZn2F8 after structural relaxation. Source: Alexandria, functional PBE.

a = 5.270 Å, b = 5.270 Å, c = 8.863 Å
α = 72.71°, β = 72.71°, γ = 60.00°
Positions (direct):
K 0.000 0.000 0.000
Dy 0.500 0.500 0.500
Zn 0.744 0.744 0.769
Zn 0.256 0.256 0.231
F 0.669 0.669 0.992
F 0.331 0.331 0.008
F 0.549 0.235 0.333
F 0.765 0.451 0.667
F 0.118 0.765 0.667
F 0.235 0.882 0.333
F 0.882 0.549 0.333
F 0.451 0.118 0.667

Energy relative to the elements, uncorrected, eV/atom: -2.91
Crystal system: trigonal
Symmetry: R32
E, eV per atom: -4.84
Size of the total moment, μB/atom: 0.0012

---

[12]
La5Hg2Br after structural relaxation. Source: Alexandria, functional PBE.

a = 4.114 Å, b = 9.821 Å, c = 12.913 Å
α = 90.00°, β = 90.00°, γ = 90.00°
Positions (direct):
La 0.000 0.000 0.500
La 0.000 0.500 0.000
La 0.000 0.859 0.209
La 0.000 0.141 0.791
La 0.000 0.641 0.709
La 0.000 0.359 0.291
La 0.500 0.710 0.431
La 0.500 0.290 0.569
La 0.500 0.790 0.931
La 0.500 0.210 0.069
Hg 0.500 0.591 0.185
Hg 0.500 0.409 0.815
Hg 0.500 0.909 0.685
Hg 0.500 0.091 0.315
Br 0.000 0.500 0.500
Br 0.000 0.000 0.000

Energy relative to the elements, uncorrected, eV/atom: -0.55
Crystal system: orthorhombic
Symmetry: Pbam
E, eV per atom: -3.92
Size of the total moment, μB/atom: 0.0000

---

[13]
TmPuSc2 after structural relaxation. Source: Alexandria, functional PBE.

a = 3.333 Å, b = 3.333 Å, c = 10.986 Å
α = 81.27°, β = 81.27°, γ = 60.00°
Positions (direct):
Sc 0.749 0.749 0.754
Sc 0.251 0.251 0.246
Tm 0.500 0.500 0.500
Pu 0.000 0.000 0.000

Crystal system: trigonal
ΔE to the lowest computed polymorph, eV per atom: 0.023
Formation energy, kJ per mole of atoms: 10
Symmetry: R-3m
E, eV per atom: -7.76
Size of the total moment, μB/atom: 1.3379

---

[14]
PrNdZnHg after structural relaxation. Source: Alexandria, functional PBE.

a = 3.762 Å, b = 3.762 Å, c = 7.595 Å
α = 90.00°, β = 90.00°, γ = 90.00°
Positions (direct):
Pr 0.500 0.500 0.124
Nd 0.500 0.500 0.590
Zn 0.000 0.000 0.361
Hg 0.000 0.000 0.853

Crystal system: tetragonal
ΔE to the lowest computed polymorph, eV per atom: 0.000
Formation energy, kJ per mole of atoms: -38
Symmetry: P4mm
E, eV per atom: -3.17
Size of the total moment, μB/atom: 0.0000

---

[15]
InRe2F after structural relaxation. Source: Alexandria, functional PBE.

a = 3.564 Å, b = 3.564 Å, c = 11.079 Å
α = 80.74°, β = 80.74°, γ = 90.00°
Positions (direct):
Re 0.121 0.125 0.250
Re 0.629 0.625 0.250
Re 0.375 0.879 0.750
Re 0.875 0.371 0.750
F 0.500 0.500 0.000
F 0.250 0.750 0.500
In 0.000 0.000 0.000
In 0.750 0.250 0.500

Energy relative to the elements, uncorrected, eV/atom: 0.28
Crystal system: tetragonal
ΔE to the lowest computed polymorph, eV per atom: 0.000
Symmetry: I-42d
E, eV per atom: -7.10
Size of the total moment, μB/atom: 0.0000

---

[16]
TlReMoW2 after structural relaxation. Source: Alexandria, functional PBE.

a = 4.796 Å, b = 4.752 Å, c = 4.796 Å
α = 90.00°, β = 90.00°, γ = 90.00°
Positions (direct):
Re 0.000 0.500 0.000
Tl 0.500 0.500 0.500
Mo 0.000 0.000 0.000
W 0.000 0.000 0.500
W 0.500 0.000 0.000

Crystal system: tetragonal
Formation energy, kJ per mole of atoms: 204
Symmetry: P4/mmm
E, eV per atom: -8.20
Size of the total moment, μB/atom: 0.0009

---

[17]
CsTl2HgCl5 after structural relaxation. Source: Alexandria, functional PBE.

a = 8.748 Å, b = 8.748 Å, c = 9.966 Å
α = 116.03°, β = 116.03°, γ = 90.00°
Positions (direct):
Cs 0.250 0.250 0.500
Cs 0.750 0.750 0.500
Tl 0.168 0.332 0.000
Tl 0.668 0.168 0.000
Tl 0.332 0.832 0.000
Tl 0.832 0.668 0.000
Hg 0.250 0.750 0.500
Hg 0.750 0.250 0.500
Cl 0.989 0.489 0.290
Cl 0.699 0.199 0.710
Cl 0.011 0.511 0.710
Cl 0.199 0.011 0.710
Cl 0.511 0.699 0.710
Cl 0.801 0.989 0.290
Cl 0.489 0.301 0.290
Cl 0.301 0.801 0.290
Cl 0.500 0.500 0.000
Cl 0.000 0.000 0.000

Energy relative to the elements, uncorrected, eV/atom: -1.11
Crystal system: tetragonal
Symmetry: I4/mcm
E, eV per atom: -2.79
Size of the total moment, μB/atom: 0.0000

---

[18]
MgAl2Tl after structural relaxation. Source: Alexandria, functional PBE.

a = 5.620 Å, b = 5.620 Å, c = 5.620 Å
α = 136.08°, β = 136.08°, γ = 63.85°
Positions (direct):
Al 0.000 0.000 0.000
Al 0.500 0.500 0.000
Mg 0.250 0.750 0.500
Tl 0.750 0.250 0.500

Crystal system: tetragonal
Formation energy, kJ per mole of atoms: 14
Symmetry: I4/mmm
E, eV per atom: -2.72
Size of the total moment, μB/atom: 0.0000

---

[19]
NaBi2OsCl after structural relaxation. Source: Alexandria, functional PBE.

a = 5.252 Å, b = 5.520 Å, c = 5.252 Å
α = 90.00°, β = 90.00°, γ = 90.00°
Positions (direct):
Na 0.500 0.500 0.500
Os 0.000 0.000 0.000
Bi 0.000 0.000 0.500
Bi 0.500 0.000 0.000
Cl 0.000 0.500 0.000

Energy relative to the elements, uncorrected, eV/atom: 0.35
Crystal system: tetragonal
Symmetry: P4/mmm
E, eV per atom: -4.08
Size of the total moment, μB/atom: 0.0000

---

[20]
SrP2I after structural relaxation. Source: Alexandria, functional PBE.

a = 6.127 Å, b = 6.127 Å, c = 8.766 Å
α = 69.55°, β = 69.55°, γ = 90.00°
Positions (direct):
I 0.000 0.000 0.000
I 0.750 0.250 0.500
Sr 0.500 0.500 0.000
Sr 0.250 0.750 0.500
P 0.676 0.125 0.250
P 0.074 0.625 0.250
P 0.375 0.324 0.750
P 0.875 0.926 0.750

Energy relative to the elements, uncorrected, eV/atom: 0.31
Crystal system: tetragonal
ΔE to the lowest computed polymorph, eV per atom: 0.000
Symmetry: I-42d
E, eV per atom: -3.20
Size of the total moment, μB/atom: 0.0000

---

no.,D(E_F) (states/eV per cell)
1,4.7
2,5.9
3,4.2
4,5.2
5,5.2
6,1.9
7,4.5
8,33.1
9,0.9
10,3.7
11,0.0
12,20.6
13,11.4
14,3.9
15,6.0
16,6.8
17,0.0
18,1.2
19,2.2
20,4.2